HfTa2Ga: optimized geometry, PBE. Values from VASP.

Cell and atoms, written as Quantum ESPRESSO input:
```
&SYSTEM
  ibrav = 0, nat = 4, ntyp = 3
/
ATOMIC_SPECIES
Ga 69.72 Ga.upf
Hf 178.49 Hf.upf
Ta 180.95 Ta.upf
CELL_PARAMETERS angstrom
0.000 3.318 3.318
3.318 0.000 3.318
3.318 3.318 0.000
ATOMIC_POSITIONS crystal
Ga 0.500 0.500 0.500
Hf 0.250 0.250 0.250
Ta 0.000 0.000 0.000
Ta 0.750 0.750 0.750
```

Calculated values
Space group ... No. 216
Total DFT energy (no corrections) ... -9.2107 eV/atom